(1)
A relaxed structure of Nd2HfMgO6. Source: Alexandria via LeMat-Bulk, functional GGA-PBE.

Output
As for the raw formation energy: -3318 meV per atom. For the density of states at the Fermi level, the calculation gives 0.00 states/eV per cell. The space-group type is P2_1/c, No. 14.

a b c (Å): 5.590 5.804 8.049
angles (deg): 90.00 89.51 90.00
Sites, in units of the cell vectors:
O  0.202  0.199  0.445
O  0.698  0.295  0.559
O  0.302  0.705  0.441
O  0.608  0.040  0.252
O  0.892  0.540  0.248
O  0.702  0.301  0.945
O  0.392  0.960  0.748
O  0.798  0.801  0.555
O  0.298  0.699  0.055
O  0.108  0.460  0.752
O  0.198  0.205  0.059
O  0.802  0.795  0.941
Nd  0.484  0.445  0.248
Nd  0.516  0.555  0.752
Nd  0.984  0.055  0.748
Nd  0.016  0.945  0.252
Hf  0.000  0.500  0.000
Hf  0.500  0.000  0.500
Mg  0.000  0.500  0.500
Mg  0.500  0.000  0.000

***

(2)
A relaxed structure of HfMgNi. Source: Alexandria via LeMat-Bulk, functional GGA-PBE.

Output
As for the formation energy: -0.156 eV per atom. For the density of states at the Fermi level, the calculation gives 3.32 states/eV per cell. The space-group type is I4mm, No. 107.

a b c (Å): 3.079 3.079 6.059
angles (deg): 104.72 104.72 90.00
Sites, in units of the cell vectors:
Mg  0.023  0.023  0.045
Ni  0.673  0.673  0.345
Hf  0.305  0.305  0.610